The following is a DFT calculation (GGA-PBE) of an optimized crystal structure of ScNbGa2.

```
data_ScNbGa2
_chemical_formula_sum 'Sc4 Nb4 Ga8'
_symmetry_space_group_name_H-M 'I -4 2 d'
_symmetry_Int_Tables_number 122
_symmetry_space_group_name_Hall 'I -4 2bw'
_cell_length_a 7.3154
_cell_length_b 7.3154
_cell_length_c 5.6996
_cell_angle_alpha 90.00
_cell_angle_beta 90.00
_cell_angle_gamma 90.00
loop_
_atom_site_label
_atom_site_type_symbol
_atom_site_fract_x
_atom_site_fract_y
_atom_site_fract_z
Sc1 Sc 0.0000 0.0000 0.0000
Nb1 Nb 0.0000 0.0000 0.5000
Ga1 Ga 0.2421 0.2500 0.6250
```

Results
E_form, eV per atom: -0.082
Calculated total energy, eV for the cell shown: -91.1

=====

The following is a DFT calculation (GGA-PBE) of an optimized crystal structure of H4Pt3.

```
data_H4Pt3
_chemical_formula_sum 'H8 Pt6'
_symmetry_space_group_name_H-M 'C 1 m 1'
_symmetry_Int_Tables_number 8
_symmetry_space_group_name_Hall 'C -2y'
_cell_length_a 9.9228
_cell_length_b 2.8841
_cell_length_c 4.9813
_cell_angle_alpha 90.00
_cell_angle_beta 98.85
_cell_angle_gamma 90.00
loop_
_atom_site_label
_atom_site_type_symbol
_atom_site_fract_x
_atom_site_fract_y
_atom_site_fract_z
H1 H 0.0000 0.0000 0.0000
H2 H 0.0221 0.5000 0.5520
H3 H 0.2414 0.5000 0.3112
H4 H 0.3896 0.0000 0.1650
Pt1 Pt 0.0883 0.0000 0.7319
Pt2 Pt 0.3218 0.5000 0.9664
Pt3 Pt 0.3226 0.0000 0.4877
```

Results
Calculated total energy, eV for the cell shown: -62.2

=====

The following is a DFT calculation (GGA-PBE) of an optimized crystal structure of CrAgBr2.

```
data_CrAgBr2
_chemical_formula_sum 'Cr4 Ag4 Br8'
_symmetry_space_group_name_H-M 'F m -3 m'
_symmetry_Int_Tables_number 225
_symmetry_space_group_name_Hall '-F 4 2 3'
_cell_length_a 7.1149
_cell_length_b 7.1149
_cell_length_c 7.1149
_cell_angle_alpha 90.00
_cell_angle_beta 90.00
_cell_angle_gamma 90.00
loop_
_atom_site_label
_atom_site_type_symbol
_atom_site_fract_x
_atom_site_fract_y
_atom_site_fract_z
Cr1 Cr 0.0000 0.0000 0.0000
Ag1 Ag 0.0000 0.0000 0.5000
Br1 Br 0.2500 0.2500 0.2500
```

Results
Calculated total energy, eV for the cell shown: -61.9
ΔE_f (raw), eV/f.u.: 0.35